[1]
! YReCl2 (PBEsol, optimized geometry); values from VASP
! ΔE to the lowest computed polymorph ... 719 meV/atom
! Size of the total moment ... 3.58 μB/cell
! Total DFT energy (no corrections) ... -5.8304 eV per atom
&SYSTEM
  ibrav = 0, nat = 4, ntyp = 3
/
ATOMIC_SPECIES
Re 186.21 Re.upf
Cl 35.45 Cl.upf
Y 88.91 Y.upf
CELL_PARAMETERS angstrom
-3.793 -2.278 1.635
-2.733 -2.455 -2.957
-0.026 -4.713 0.176
ATOMIC_POSITIONS crystal
Re 0.000 0.000 0.000
Cl 0.250 0.250 0.250
Cl 0.750 0.750 0.750
Y 0.500 0.500 0.500

[2]
! ZnTeO3 (PBEsol, optimized geometry); values from VASP
! Size of the total moment ... 0.00 μB/cell
! Total DFT energy (no corrections) ... -4.5420 eV per atom
&SYSTEM
  ibrav = 0, nat = 5, ntyp = 3
/
ATOMIC_SPECIES
O 16.00 O.upf
Zn 65.41 Zn.upf
Te 127.60 Te.upf
CELL_PARAMETERS angstrom
3.842 0.000 0.000
0.000 3.842 0.000
0.000 0.000 3.842
ATOMIC_POSITIONS crystal
O 0.000 0.000 0.500
O 0.000 0.500 0.000
O 0.500 0.000 0.000
Zn 0.000 0.000 0.000
Te 0.500 0.500 0.500